# Rb2PrAgF6, relaxed, DFT PBE
# - offset from the most stable computed form (kJ/mol of formula units) = 28.2
# - raw formation energy (eV per atom) = -2.86
data_Rb2PrAgF6
_chemical_formula_sum 'Rb2 Pr1 Ag1 F6'
_cell_length_a 6.714
_cell_length_b 6.714
_cell_length_c 6.714
_cell_angle_alpha 60.00
_cell_angle_beta 60.00
_cell_angle_gamma 60.00
_symmetry_space_group_name_H-M 'P 1'
_symmetry_Int_Tables_number 1
_symmetry_space_group_name_Hall 'P 1'
loop_
_atom_site_label
_atom_site_fract_x
_atom_site_fract_y
_atom_site_fract_z
_atom_site_occupancy
Rb1 0.750 0.750 0.750 1
Rb2 0.250 0.250 0.250 1
Pr1 0.000 0.000 0.000 1
Ag1 0.500 0.500 0.500 1
F1 0.759 0.759 0.241 1
F2 0.759 0.241 0.241 1
F3 0.241 0.241 0.759 1
F4 0.759 0.241 0.759 1
F5 0.241 0.759 0.241 1
F6 0.241 0.759 0.759 1

***

# AgOs2Pt, relaxed, DFT PBE
# - ΔH_f (0 K) (kJ/mol of formula units) = 159.8
data_AgOs2Pt
_chemical_formula_sum 'Ag1 Os2 Pt1'
_cell_length_a 4.814
_cell_length_b 4.814
_cell_length_c 4.912
_cell_angle_alpha 81.14
_cell_angle_beta 81.14
_cell_angle_gamma 33.04
_symmetry_space_group_name_H-M 'P 1'
_symmetry_Int_Tables_number 1
_symmetry_space_group_name_Hall 'P 1'
loop_
_atom_site_label
_atom_site_fract_x
_atom_site_fract_y
_atom_site_fract_z
_atom_site_occupancy
Os1 0.991 0.991 0.032 1
Os2 0.253 0.253 0.223 1
Ag1 0.750 0.750 0.738 1
Pt1 0.506 0.506 0.508 1

***

# MgGa2W2, relaxed, DFT PBE
# - offset from the most stable computed form (kJ/mol of formula units) = 157.8
# - ΔH_f (0 K) (kJ/mol of formula units) = 301.2
data_MgGa2W2
_chemical_formula_sum 'Mg1 Ga2 W2'
_cell_length_a 3.777
_cell_length_b 3.777
_cell_length_c 6.828
_cell_angle_alpha 73.94
_cell_angle_beta 73.94
_cell_angle_gamma 90.00
_symmetry_space_group_name_H-M 'P 1'
_symmetry_Int_Tables_number 1
_symmetry_space_group_name_Hall 'P 1'
loop_
_atom_site_label
_atom_site_fract_x
_atom_site_fract_y
_atom_site_fract_z
_atom_site_occupancy
Mg1 0.000 0.000 0.000 1
Ga1 0.750 0.250 0.500 1
Ga2 0.250 0.750 0.500 1
W1 0.403 0.403 0.195 1
W2 0.597 0.597 0.805 1

***

For each record above, in turn, the calculated total magnetic moment values are 0.001 0.000 0.000 μB per atom.